Compound: ZrAlBr2
Source: Alexandria
Functional: SCAN
Structure: single point on PBEsol structure

Summary:
The calculation puts the energy above the most stable polymorph in this dataset at 0.015 eV per atom. As for the density of states at the Fermi level: 2.4 states/eV/f.u. The value obtained for the formation energy from raw total energies is -588.3 meV/atom.

Lattice parameters (Å, degrees): 3.2795 4.9231 7.3616 109.53 102.87 90.00
Atoms (fractional coordinates):
Br (0.3383, 0.3383, 0.6766)
Br (0.6617, 0.6617, 0.3234)
Zr (0.0000, 0.5000, 0.0000)
Al (0.5000, 0.0000, 0.0000)

---

Compound: CaIn3
Source: Alexandria
Functional: SCAN
Structure: single point on PBEsol structure

Summary:
The formation energy is -314 meV/atom. As for the density of states at the Fermi level: 1.8 states/eV/f.u.

Lattice parameters (Å, degrees): 4.7998 6.5962 6.5962 99.34 90.00 90.00
Atoms (fractional coordinates):
Ca (0.2500, 0.3384, 0.3384)
Ca (0.7500, 0.6616, 0.6616)
In (0.2500, 0.9052, 0.9052)
In (0.2500, 0.4001, 0.8515)
In (0.2500, 0.8515, 0.4001)
In (0.7500, 0.5999, 0.1485)
In (0.7500, 0.0948, 0.0948)
In (0.7500, 0.1485, 0.5999)

---

Compound: DyVO3
Source: Alexandria
Functional: SCAN
Structure: single point on PBEsol structure

Summary:
As for the density of states at the Fermi level: 0.6 states/eV/f.u. The value obtained for the formation energy from raw total energies is -3345.2 meV/atom.

Lattice parameters (Å, degrees): 5.1931 5.5855 7.5152 90.00 90.00 90.00
Atoms (fractional coordinates):
O (0.3891, 0.0389, 0.2500)
O (0.6109, 0.9611, 0.7500)
O (0.8891, 0.4611, 0.7500)
O (0.1109, 0.5389, 0.2500)
O (0.1908, 0.8030, 0.9444)
O (0.1908, 0.8030, 0.5556)
O (0.3092, 0.3030, 0.9444)
O (0.8092, 0.1970, 0.4444)
O (0.6908, 0.6970, 0.4444)
O (0.6908, 0.6970, 0.0556)
O (0.8092, 0.1970, 0.0556)
O (0.3092, 0.3030, 0.5556)
V (0.0000, 0.5000, 0.0000)
V (0.5000, 0.0000, 0.5000)
V (0.5000, 0.0000, 0.0000)
V (0.0000, 0.5000, 0.5000)
Dy (0.4792, 0.5717, 0.7500)
Dy (0.5208, 0.4283, 0.2500)
Dy (0.9792, 0.9283, 0.2500)
Dy (0.0208, 0.0717, 0.7500)

---

Compound: SbPt2Br
Source: Alexandria
Functional: SCAN
Structure: single point on PBEsol structure

Summary:
As for the density of states at the Fermi level: 2.0 states/eV/f.u. The value obtained for the formation energy from raw total energies is 511.0 meV/atom.

Lattice parameters (Å, degrees): 3.8955 3.8955 5.6698 110.09 110.09 90.00
Atoms (fractional coordinates):
Br (0.2500, 0.7500, 0.5000)
Sb (0.5000, 0.5000, 0.0000)
Pt (0.7500, 0.2500, 0.5000)
Pt (0.0000, 0.0000, 0.0000)

---

Compound: BaLaAs2
Source: Alexandria
Functional: SCAN
Structure: single point on PBEsol structure

Summary:
The formation energy is -1093 meV/atom. The calculation puts the energy above the most stable polymorph in this dataset at 0.106 eV per atom. As for the density of states at the Fermi level: 1.3 states/eV/f.u.

Lattice parameters (Å, degrees): 6.9074 6.9074 6.9074 107.29 107.29 113.93
Atoms (fractional coordinates):
La (0.2500, 0.7500, 0.5000)
La (0.0000, 0.0000, 0.0000)
As (0.8967, 0.3750, 0.0217)
As (0.6250, 0.6467, 0.5217)
As (0.3533, 0.8750, 0.9783)
As (0.1250, 0.1033, 0.4783)
Ba (0.5000, 0.5000, 0.0000)
Ba (0.7500, 0.2500, 0.5000)

---

Compound: Tl2CdRe
Source: Alexandria
Functional: SCAN
Structure: single point on PBEsol structure

Summary:
The formation energy is 851 meV/atom. The calculation puts the energy above the most stable polymorph in this dataset at 0.233 eV per atom. As for the density of states at the Fermi level: 1.8 states/eV/f.u.

Lattice parameters (Å, degrees): 2.8641 2.8641 10.9849 90.00 90.00 90.00
Atoms (fractional coordinates):
Cd (0.5000, 0.5000, 0.0000)
Re (0.5000, 0.5000, 0.5000)
Tl (0.0000, 0.0000, 0.2838)
Tl (0.0000, 0.0000, 0.7162)

---

Compound: LaYIr2
Source: Alexandria
Functional: SCAN
Structure: single point on PBEsol structure

Summary:
The formation energy is -770 meV/atom. The calculation puts the energy above the most stable polymorph in this dataset at 0.026 eV per atom. As for the density of states at the Fermi level: 1.3 states/eV/f.u.

Lattice parameters (Å, degrees): 4.8525 4.8525 4.8525 93.17 118.19 118.19
Atoms (fractional coordinates):
Ir (0.5000, 0.2500, 0.7500)
Ir (0.5000, 0.7500, 0.2500)
Y (0.0000, 0.0000, 0.0000)
La (0.0000, 0.5000, 0.5000)

---

Compound: Tc2RuPt
Source: Alexandria
Functional: SCAN
Structure: single point on PBEsol structure

Summary:
The formation energy is -104 meV/atom. The calculation puts the energy above the most stable polymorph in this dataset at 0.114 eV per atom. As for the density of states at the Fermi level: 3.7 states/eV/f.u.

Lattice parameters (Å, degrees): 2.6740 2.6740 7.8090 90.00 90.00 90.00
Atoms (fractional coordinates):
Ru (0.5000, 0.5000, 0.5000)
Tc (0.0000, 0.0000, 0.7411)
Tc (0.0000, 0.0000, 0.2589)
Pt (0.5000, 0.5000, 0.0000)

---

Compound: TcSn3F
Source: Alexandria
Functional: SCAN
Structure: single point on PBEsol structure

Summary:
As for the density of states at the Fermi level: 2.2 states/eV/f.u. The value obtained for the formation energy from raw total energies is 246.9 meV/atom.

Lattice parameters (Å, degrees): 4.7124 4.7124 4.7124 90.00 90.00 90.00
Atoms (fractional coordinates):
Sn (0.5000, 0.0000, 0.0000)
Sn (0.0000, 0.5000, 0.0000)
Sn (0.0000, 0.0000, 0.5000)
Tc (0.5000, 0.5000, 0.5000)
F (0.0000, 0.0000, 0.0000)

---

Compound: BiH2Rh
Source: Alexandria
Functional: SCAN
Structure: single point on PBEsol structure

Summary:
The total energy comes out at -2.180 Ry per atom. As for the density of states at the Fermi level: 0.6 states/eV/f.u.

Lattice parameters (Å, degrees): 4.4618 4.4618 5.9223 112.13 112.13 90.00
Atoms (fractional coordinates):
Rh (0.5000, 0.5000, 0.0000)
Rh (0.7500, 0.2500, 0.5000)
H (0.6008, 0.8750, 0.2500)
H (0.6250, 0.3992, 0.7500)
H (0.1250, 0.3508, 0.7500)
H (0.6492, 0.3750, 0.2500)
Bi (0.0000, 0.0000, 0.0000)
Bi (0.2500, 0.7500, 0.5000)

---

Compound: LiAgP2Cl
Source: Alexandria
Functional: SCAN
Structure: single point on PBEsol structure

Summary:
As for the density of states at the Fermi level: 1.8 states/eV/f.u. The value obtained for the formation energy from raw total energies is 382.6 meV/atom.

Lattice parameters (Å, degrees): 4.6318 4.6318 5.8035 90.00 90.00 90.00
Atoms (fractional coordinates):
Ag (0.0000, 0.0000, 0.0000)
P (0.0000, 0.5000, 0.0000)
P (0.5000, 0.0000, 0.0000)
Li (0.5000, 0.5000, 0.5000)
Cl (0.0000, 0.0000, 0.5000)

---

Compound: HfTiMo2
Source: Alexandria
Functional: SCAN
Structure: single point on PBEsol structure

Summary:
The formation energy is -5 meV/atom. As for the density of states at the Fermi level: 6.0 states/eV/f.u.

Lattice parameters (Å, degrees): 4.5257 4.5257 4.5257 60.00 60.00 60.00
Atoms (fractional coordinates):
Hf (0.5000, 0.5000, 0.5000)
Mo (0.7500, 0.7500, 0.7500)
Mo (0.2500, 0.2500, 0.2500)
Ti (0.0000, 0.0000, 0.0000)